No. 1
An optimized crystal structure of Pm15NdTl4, computed with PBE.

Computed properties:
As for the space group: No. 123.

Cell lengths 4.965, 4.965, 25.452 Å; angles 90.00, 90.00, 90.00 degrees
Atoms (fractional coordinates):
Pm1 0.500 0.500 0.000
Pm2 0.500 0.500 0.206
Pm3 0.500 0.500 0.402
Pm4 0.500 0.500 0.598
Pm5 0.500 0.500 0.794
Pm6 0.500 0.000 0.106
Pm7 0.500 0.000 0.304
Pm8 0.500 0.000 0.500
Pm9 0.500 0.000 0.696
Pm10 0.500 0.000 0.894
Pm11 0.000 0.500 0.106
Pm12 0.000 0.500 0.304
Pm13 0.000 0.500 0.500
Pm14 0.000 0.500 0.696
Pm15 0.000 0.500 0.894
Nd1 0.000 0.000 0.000
Tl1 0.000 0.000 0.207
Tl2 0.000 0.000 0.402
Tl3 0.000 0.000 0.598
Tl4 0.000 0.000 0.793



No. 2
An optimized crystal structure of Pm4Nd3Tl4, computed with PBE.

Computed properties:
As for the space group: No. 71.

Cell lengths 3.790, 9.632, 10.982 Å; angles 116.01, 99.94, 90.00 degrees
Atoms (fractional coordinates):
Pm1 0.336 0.154 0.673
Pm2 0.664 0.481 0.327
Pm3 0.664 0.846 0.327
Pm4 0.336 0.519 0.673
Nd1 0.096 0.096 0.193
Nd2 0.904 0.904 0.807
Nd3 0.000 0.500 0.000
Tl1 0.270 0.770 0.540
Tl2 0.730 0.230 0.460
Tl3 0.500 0.779 0.000
Tl4 0.500 0.221 0.000



No. 3
An optimized crystal structure of PmNd3Tl2, computed with PBE.

Computed properties:
As for the space group: No. 26. The value obtained for the polymorph energy (0 for the lowest one) is 0.000 eV per atom.

Cell lengths 5.283, 6.918, 10.347 Å; angles 90.00, 90.00, 90.00 degrees
Atoms (fractional coordinates):
Pm1 0.500 0.547 0.543
Pm2 0.500 0.047 0.457
Nd1 0.000 0.452 0.957
Nd2 0.000 0.952 0.043
Nd3 0.500 0.682 0.184
Nd4 0.500 0.182 0.816
Nd5 0.000 0.318 0.318
Nd6 0.000 0.818 0.682
Tl1 0.500 0.708 0.863
Tl2 0.500 0.208 0.137
Tl3 0.000 0.293 0.636
Tl4 0.000 0.793 0.364



No. 4
An optimized crystal structure of Pm2Nd7Tl2, computed with PBE.

Computed properties:
As for the space group: No. 44.

Cell lengths 3.727, 11.560, 11.560 Å; angles 51.39, 80.72, 80.72 degrees
Atoms (fractional coordinates):
Pm1 0.000 0.739 0.261
Pm2 0.500 0.395 0.605
Nd1 0.838 0.051 0.274
Nd2 0.863 0.398 0.876
Nd3 0.500 0.055 0.945
Nd4 0.629 0.457 0.285
Nd5 0.371 0.715 0.543
Nd6 0.162 0.726 0.949
Nd7 0.137 0.124 0.602
Tl1 0.745 0.853 0.657
Tl2 0.255 0.343 0.147



No. 5
An optimized crystal structure of Pm4NdTl5, computed with PBE.

Computed properties:
As for the space group: No. 123.

Cell lengths 3.870, 3.870, 19.569 Å; angles 90.00, 90.00, 90.00 degrees
Atoms (fractional coordinates):
Pm1 0.000 0.000 0.201
Pm2 0.000 0.000 0.400
Pm3 0.000 0.000 0.600
Pm4 0.000 0.000 0.799
Nd1 0.000 0.000 0.000
Tl1 0.500 0.500 0.102
Tl2 0.500 0.500 0.301
Tl3 0.500 0.500 0.500
Tl4 0.500 0.500 0.699
Tl5 0.500 0.500 0.898



No. 6
An optimized crystal structure of PmNdTl2, computed with PBE.

Computed properties:
As for the space group: No. 123.

Cell lengths 3.897, 3.897, 7.776 Å; angles 90.00, 90.00, 90.00 degrees
Atoms (fractional coordinates):
Tl1 0.000 0.000 0.753
Tl2 0.000 0.000 0.247
Nd1 0.500 0.500 0.500
Pm1 0.500 0.500 0.000



No. 7
An optimized crystal structure of Pm8NdTl2, computed with PBE.

Computed properties:
As for the space group: No. 12. The value obtained for the polymorph energy (0 for the lowest one) is 0.000 eV per atom.

Cell lengths 5.245, 8.402, 9.156 Å; angles 110.62, 106.65, 90.01 degrees
Atoms (fractional coordinates):
Pm1 0.601 0.465 0.201
Pm2 0.314 0.052 0.628
Pm3 0.147 0.206 0.294
Pm4 0.052 0.738 0.104
Pm5 0.853 0.794 0.706
Pm6 0.686 0.948 0.372
Pm7 0.399 0.535 0.799
Pm8 0.948 0.262 0.896
Nd1 0.500 0.000 0.000
Tl1 0.222 0.641 0.444
Tl2 0.778 0.359 0.556



No. 8
An optimized crystal structure of PmNd2Tl4, computed with PBE.

Computed properties:
As for the space group: No. 139. The value obtained for the polymorph energy (0 for the lowest one) is 0.080 eV per atom.

Cell lengths 6.668, 6.668, 6.668 Å; angles 108.28, 110.07, 110.07 degrees
Last column: magnetic moment on the atom in μB.
Atoms (fractional coordinates):
Pm1 0.000 0.000 0.000  0.16
Nd1 0.500 0.500 0.000  0.14
Nd2 0.500 0.000 0.500  0.14
Tl1 0.500 0.000 0.000  0.01
Tl2 0.500 0.500 0.500  0.01
Tl3 0.000 0.000 0.500  0.01
Tl4 0.000 0.500 0.000  0.01



No. 9
An optimized crystal structure of Pm3Nd3Tl2, computed with PBE.

Computed properties:
As for the space group: No. 63. The value obtained for the polymorph energy (0 for the lowest one) is 0.096 eV per atom.

Cell lengths 5.411, 6.783, 15.770 Å; angles 90.00, 90.00, 113.51 degrees
Atoms (fractional coordinates):
Pm1 0.960 0.920 0.393
Pm2 0.040 0.080 0.893
Pm3 0.960 0.920 0.107
Pm4 0.040 0.080 0.607
Pm5 0.730 0.460 0.250
Pm6 0.270 0.540 0.750
Nd1 0.637 0.274 0.473
Nd2 0.363 0.726 0.973
Nd3 0.637 0.274 0.027
Nd4 0.363 0.726 0.527
Nd5 0.448 0.896 0.250
Nd6 0.552 0.104 0.750
Tl1 0.785 0.569 0.860
Tl2 0.215 0.431 0.360
Tl3 0.785 0.569 0.640
Tl4 0.215 0.431 0.140



No. 10
An optimized crystal structure of PmNd5Tl6, computed with PBE.

Computed properties:
As for the space group: No. 12.

Cell lengths 5.520, 9.550, 9.568 Å; angles 60.06, 73.20, 54.60 degrees
Atoms (fractional coordinates):
Pm1 0.000 0.000 0.000
Nd1 0.500 0.167 0.665
Nd2 0.000 0.334 0.333
Nd3 0.500 0.500 0.000
Nd4 0.000 0.666 0.667
Nd5 0.500 0.833 0.335
Tl1 0.751 0.083 0.332
Tl2 0.249 0.585 0.332
Tl3 0.252 0.248 0.000
Tl4 0.748 0.752 0.000
Tl5 0.751 0.415 0.668
Tl6 0.249 0.917 0.668



No. 11
An optimized crystal structure of Pm12NdTl7, computed with PBE.

Computed properties:
As for the space group: No. 148.

Cell lengths 9.021, 9.022, 9.021 Å; angles 101.66, 101.66, 101.66 degrees
Atoms (fractional coordinates):
Pm1 0.819 0.284 0.689
Pm2 0.716 0.311 0.181
Pm3 0.447 0.123 0.379
Pm4 0.877 0.621 0.553
Pm5 0.311 0.181 0.716
Pm6 0.621 0.553 0.877
Pm7 0.379 0.447 0.123
Pm8 0.689 0.819 0.284
Pm9 0.123 0.379 0.447
Pm10 0.553 0.877 0.621
Pm11 0.284 0.689 0.819
Pm12 0.181 0.716 0.311
Nd1 0.000 0.000 0.000
Tl1 0.982 0.640 0.943
Tl2 0.360 0.057 0.018
Tl3 0.057 0.018 0.360
Tl4 0.500 0.500 0.500
Tl5 0.943 0.982 0.640
Tl6 0.640 0.943 0.982
Tl7 0.018 0.360 0.057



No. 12
An optimized crystal structure of Pm4NdTl2, computed with PBE.

Computed properties:
As for the space group: No. 139.

Cell lengths 6.043, 6.043, 7.617 Å; angles 113.37, 113.37, 90.00 degrees
Last column: magnetic moment on the atom in μB.
Atoms (fractional coordinates):
Pm1 0.750 0.250 0.500  0.00
Pm2 0.250 0.750 0.500  0.00
Pm3 0.500 0.000 0.000  0.05
Pm4 0.000 0.500 0.000  0.05
Nd1 0.000 0.000 0.000  0.09
Tl1 0.633 0.633 0.266  0.00
Tl2 0.367 0.367 0.734  0.00



Number 1: total magnetization 0.0 μB per formula unit, energy of formation -0.152 eV/atom. Number 2: total magnetization 0.0 μB per formula unit, energy of formation -0.249 eV/atom. Number 3: total magnetization 0.0 μB per formula unit, energy of formation -0.273 eV/atom. Number 4: total magnetization 0.0 μB per formula unit, energy of formation -0.029 eV/atom. Number 5: total magnetization 0.0 μB per formula unit, energy of formation -0.389 eV/atom. Number 6: total magnetization 0.0 μB per formula unit, energy of formation -0.392 eV/atom. Number 7: total magnetization 0.0 μB per formula unit, energy of formation -0.105 eV/atom. Number 8: total magnetization 1.0 μB per formula unit, energy of formation -0.237 eV/atom. Number 9: total magnetization 0.0 μB per formula unit, energy of formation -0.107 eV/atom. Number 10: total magnetization 0.0 μB per formula unit, energy of formation -0.389 eV/atom. Number 11: total magnetization 0.0 μB per formula unit, energy of formation -0.033 eV/atom. Number 12: total magnetization 0.3 μB per formula unit, energy of formation 0.142 eV/atom.